## ZrSc2Ni (PBE)

Data for an optimized crystal structure of ZrSc2Ni.

a = 3.3211 Å, b = 4.7976 Å, c = 9.9591 Å
α = 90.00°, β = 90.00°, γ = 90.00°
Closest atoms and distances in Å follow each position.
Space group Immm (No. 71)
Asymmetric unit:
Zr1 0.0000 0.0000 0.0000 [2 per cell]  4 Ni 2.92, 4 Sc 3.17
Sc1 0.0000 0.5000 0.2083 [4 per cell]  2 Ni 2.66
Ni1 0.0000 0.0000 0.5000 [2 per cell]  4 Sc 2.66, 4 Zr 2.92

**N(E_F)**: 4.971 states/eV/f.u.
**Energy above the lowest structure with this stoichiometry**: 80 meV/atom
**Formation energy from the elements**: -0.17 eV per atom
**Total magnetization**: 0.001 Bohr magnetons per cell